This record from Alexandria describes a relaxed structure of GaTc2Sn. The functional is PBE.

Calculated values
Its formation energy is 0.6074 eV/atom. The value obtained for the energy above the most stable polymorph in this dataset is 486 meV per atom.

extended XYZ file:
```
8
Lattice="-3.5699 3.5699 2.8345 3.5699 -3.5699 2.8345 3.5699 3.5699 -2.8345" Properties=species:S:1:pos:R:3 pbc="T T T"
Ga 0.0000 0.0000 0.0000
Ga 0.0000 3.5699 1.4173
Tc 5.3549 1.5880 -0.7086
Tc 1.5880 1.7850 0.7086
Tc -1.7850 1.9820 2.1259
Tc 1.9820 1.7850 3.5432
Sn 3.5699 0.0000 1.4173
Sn 0.0000 0.0000 2.8345
```

This record from Alexandria describes a relaxed structure of Ca5PrTl4. The functional is PBE.

Calculated values
Its formation energy is -0.3263 eV/atom.

extended XYZ file:
```
10
Lattice="3.8018 0.0000 0.0000 0.0000 3.8018 0.0000 0.0000 0.0000 21.6720" Properties=species:S:1:pos:R:3 pbc="T T T"
Ca 0.0000 0.0000 0.0000
Ca 0.0000 0.0000 4.0475
Ca 0.0000 0.0000 8.0570
Ca 0.0000 0.0000 13.6150
Ca 0.0000 0.0000 17.6245
Pr 1.9009 1.9009 10.8360
Tl 1.9009 1.9009 2.0316
Tl 1.9009 1.9009 6.1115
Tl 1.9009 1.9009 15.5605
Tl 1.9009 1.9009 19.6403
```

This record from Alexandria describes a relaxed structure of NaZn2SbAs. The functional is PBE.

Calculated values
The value obtained for the uncorrected formation energy is -212 meV per atom.

extended XYZ file:
```
10
Lattice="7.4468 0.0000 0.0000 0.0000 4.0607 0.0000 -2.2730 0.0000 7.9591" Properties=species:S:1:pos:R:3 pbc="T T T"
Na -0.1949 1.0152 2.5058
Na 5.3686 3.0455 5.4532
Zn 1.6941 3.0455 6.9279
Zn 2.2979 1.0152 4.9503
Zn 2.8759 3.0455 3.0087
Zn 3.4797 1.0152 1.0311
Sb 1.6798 3.0455 0.4671
Sb 3.4940 1.0152 7.4920
As 0.8039 3.0455 4.5656
As 4.3699 1.0152 3.3934
```